[1]
DFT (PBE-GGA) results for a relaxed Mo2IrBr crystal.

POSCAR file:
```
Mo2IrBr
1.0
-2.4401 -3.5685 1.3597
1.4864 -2.5972 3.4032
-2.1098 0.0928 4.0097
Ir Mo Br
1 2 1
direct
0.2500 0.2500 0.2500 Ir
0.0000 0.0000 0.0000 Mo
0.7500 0.7500 0.7500 Mo
0.5000 0.5000 0.5000 Br
```

DFT total energy: -7.0481 eV per atom
energy above the lowest structure with this stoichiometry: 614.4 meV/atom


[2]
DFT (PBE-GGA) results for a relaxed AcTmLuAl crystal.

POSCAR file:
```
AcTmLuAl
1.0
-1.3291 4.6795 -2.4805
-4.6500 2.5523 1.2961
0.1473 4.6996 2.7766
Al Ac Tm Lu
1 1 1 1
direct
0.2500 0.2500 0.2500 Al
0.7500 0.7500 0.7500 Ac
0.5000 0.5000 0.5000 Tm
0.0000 0.0000 0.0000 Lu
```

DFT total energy: -4.0870 eV per atom
E_form: 48 kJ/mol of formula units


[3]
DFT (PBE-GGA) results for a relaxed VFe2Bi crystal.

POSCAR file:
```
VFe2Bi
1.0
-0.8099 1.9099 3.8556
-3.8063 2.0582 0.6668
-2.9734 -1.7213 2.7139
Fe Bi V
2 1 1
direct
0.7500 0.7500 0.7500 Fe
0.2500 0.2500 0.2500 Fe
0.5000 0.5000 0.5000 Bi
0.0000 0.0000 0.0000 V
```

DFT total energy: -7.0722 eV per atom
E_form: 158 kJ/mol of formula units
energy above the lowest structure with this stoichiometry: 0.0 meV/atom


[4]
DFT (PBE-GGA) results for a relaxed HgAs2C crystal.

POSCAR file:
```
HgAs2C
1.0
5.7610 0.0000 0.0000
0.0000 5.7610 0.0000
2.8805 2.8805 4.7072
As Hg C
4 2 2
direct
0.5381 0.1250 0.2500 As
0.3750 0.4619 0.7500 As
0.8750 0.7881 0.7500 As
0.2119 0.6250 0.2500 As
0.7500 0.2500 0.5000 Hg
0.0000 0.0000 0.0000 Hg
0.2500 0.7500 0.5000 C
0.5000 0.5000 0.0000 C
```

DFT total energy: -3.9999 eV per atom
E_form: 273 kJ/mol of formula units
energy above the lowest structure with this stoichiometry: 0.0 meV/atom